1.
Below is a relaxed Hf2InMo crystal, with properties calculated at the PBE level.

Computed properties:
- VASP energy (eV per atom) = -8.591

a = 3.442 Å, b = 3.442 Å, c = 6.797 Å
α = 90.00°, β = 90.00°, γ = 90.00°
Fractional positions:
Hf1 0.000 0.000 0.222
Hf2 0.000 0.000 0.778
In1 0.500 0.500 0.500
Mo1 0.500 0.500 0.000

***

2.
Below is a relaxed Hf2In3Mo4N3 crystal, with properties calculated at the PBE level.

Computed properties:
- VASP energy (eV per atom) = -8.442

a = 5.544 Å, b = 5.544 Å, c = 14.215 Å
α = 100.72°, β = 100.72°, γ = 60.19°
Fractional positions:
Hf1 0.026 0.851 0.589
Hf2 0.149 0.974 0.911
Hf3 0.851 0.026 0.089
Hf4 0.974 0.149 0.411
In1 0.078 0.288 0.746
In2 0.288 0.078 0.246
In3 0.449 0.551 0.750
In4 0.551 0.449 0.250
In5 0.712 0.922 0.754
In6 0.922 0.712 0.254
Mo1 0.191 0.380 0.076
Mo2 0.328 0.452 0.424
Mo3 0.380 0.191 0.576
Mo4 0.452 0.328 0.924
Mo5 0.548 0.672 0.076
Mo6 0.620 0.809 0.424
Mo7 0.672 0.548 0.576
Mo8 0.809 0.620 0.924
N1 0.000 0.500 0.500
N2 0.154 0.693 0.000
N3 0.307 0.846 0.500
N4 0.500 0.000 0.000
N5 0.693 0.154 0.500
N6 0.846 0.307 0.000

***

3.
Below is a relaxed Hf4Nb2In3N3 crystal, with properties calculated at the PBE level.

Computed properties:
- VASP energy (eV per atom) = -8.649

a = 5.564 Å, b = 5.564 Å, c = 15.039 Å
α = 100.53°, β = 100.53°, γ = 60.19°
Fractional positions:
Hf1 0.022 0.200 0.085
Hf2 0.144 0.305 0.415
Hf3 0.200 0.022 0.585
Hf4 0.305 0.144 0.915
Hf5 0.695 0.856 0.085
Hf6 0.800 0.978 0.415
Hf7 0.856 0.695 0.585
Hf8 0.978 0.800 0.915
Nb1 0.368 0.527 0.081
Nb2 0.473 0.632 0.419
Nb3 0.527 0.368 0.581
Nb4 0.632 0.473 0.919
In1 0.094 0.906 0.250
In2 0.262 0.415 0.748
In3 0.415 0.262 0.248
In4 0.585 0.738 0.752
In5 0.738 0.585 0.252
In6 0.906 0.094 0.750
N1 0.000 0.500 0.000
N2 0.149 0.675 0.500
N3 0.325 0.851 0.000
N4 0.500 0.000 0.500
N5 0.675 0.149 0.000
N6 0.851 0.325 0.500

***

4.
Below is a relaxed Hf4InPbN2 crystal, with properties calculated at the PBE level.

Computed properties:
- VASP energy (eV per atom) = -8.807

a = 3.260 Å, b = 3.260 Å, c = 14.865 Å
α = 90.00°, β = 90.00°, γ = 120.00°
Fractional positions:
Hf1 0.000 0.000 0.166
Hf2 0.000 0.000 0.834
Hf3 0.667 0.333 0.333
Hf4 0.667 0.333 0.667
In1 0.667 0.333 0.000
Pb1 0.000 0.000 0.500
N1 0.333 0.667 0.248
N2 0.333 0.667 0.752

***

5.
Below is a relaxed Hf4InSN2 crystal, with properties calculated at the PBE level.

Computed properties:
- VASP energy (eV per atom) = -9.198

a = 3.284 Å, b = 3.284 Å, c = 13.324 Å
α = 90.00°, β = 90.00°, γ = 120.00°
Fractional positions:
Hf1 0.000 0.000 0.135
Hf2 0.000 0.000 0.865
Hf3 0.667 0.333 0.318
Hf4 0.667 0.333 0.682
In1 0.000 0.000 0.500
S1 0.667 0.333 0.000
N1 0.333 0.667 0.229
N2 0.333 0.667 0.771

***

6.
Below is a relaxed Hf4InSN2 crystal, with properties calculated at the PBE level.

Computed properties:
- VASP energy (eV per atom) = -9.198

a = 3.284 Å, b = 3.284 Å, c = 13.324 Å
α = 90.00°, β = 90.00°, γ = 120.00°
Fractional positions:
Hf1 0.000 0.000 0.135
Hf2 0.000 0.000 0.865
Hf3 0.333 0.667 0.318
Hf4 0.333 0.667 0.682
In1 0.000 0.000 0.500
S1 0.333 0.667 0.000
N1 0.667 0.333 0.229
N2 0.667 0.333 0.771